The following is a PBE calculation of an optimized crystal structure of Mg3SiP2Rh9, from the Alexandria database.

V: 253 Å³/cell
space group: P-3m1
energy relative to the elements, uncorrected: -0.33 eV/atom

Unit cell a=6.191 b=6.191 c=7.624 alpha=90.00 beta=90.00 gamma=120.00
Sites, in units of the cell vectors:
Rh 0.167 0.833 0.329
Rh 0.000 0.500 0.000
Rh 0.833 0.167 0.671
Rh 0.665 0.833 0.329
Rh 0.335 0.167 0.671
Rh 0.833 0.665 0.671
Rh 0.500 0.000 0.000
Rh 0.167 0.335 0.329
Rh 0.500 0.500 0.000
P 0.667 0.333 0.834
P 0.333 0.667 0.166
Mg 0.000 0.000 0.000
Mg 0.333 0.667 0.660
Mg 0.667 0.333 0.340
Si 0.000 0.000 0.500



The following is a PBE calculation of an optimized crystal structure of PmDy2Tm2Th2, from the Alexandria database.

V: 223 Å³/cell
energy of formation: 136 meV/atom
space group: C2/m

Unit cell a=5.913 b=6.875 c=12.799 alpha=142.59 beta=90.00 gamma=115.47
Sites, in units of the cell vectors:
Th 0.835 0.670 0.624
Th 0.165 0.330 0.376
Pm 0.000 0.000 0.500
Dy 0.736 0.472 0.812
Dy 0.264 0.528 0.188
Tm 0.571 0.142 0.925
Tm 0.429 0.858 0.075



The following is a PBE calculation of an optimized crystal structure of Ca8Ni2Hg, from the Alexandria database.

V: 341 Å³/cell
energy of formation: -114 meV/atom
space group: Cm

Unit cell a=5.890 b=8.016 c=8.016 alpha=111.73 beta=97.95 gamma=97.95
Sites, in units of the cell vectors:
Ca 0.577 0.336 0.068
Ca 0.991 0.242 0.763
Ca 0.403 0.669 0.938
Ca 0.195 0.382 0.382
Ca 0.991 0.763 0.242
Ca 0.577 0.068 0.336
Ca 0.793 0.626 0.626
Ca 0.403 0.938 0.669
Ni 0.494 0.690 0.317
Ni 0.494 0.317 0.690
Hg 0.080 0.003 0.003



The following is a PBE calculation of an optimized crystal structure of Pr2PdCl, from the Alexandria database.

V: 115 Å³/cell
space group: R3m
energy relative to the elements, uncorrected: -1.06 eV/atom
offset from the most stable computed form: 0 meV/atom

Unit cell a=4.139 b=4.139 c=8.078 alpha=75.15 beta=75.15 gamma=60.00
Sites, in units of the cell vectors:
Pr 0.072 0.072 0.785
Pr 0.262 0.262 0.213
Pd 0.667 0.667 0.998
Cl 0.499 0.499 0.504



The following is a PBE calculation of an optimized crystal structure of NiP3, from the Alexandria database.

V: 120 Å³/cell
energy of formation: 373 meV/atom
space group: I4/mmm
offset from the most stable computed form: 675 meV/atom

Unit cell a=9.276 b=9.276 c=9.276 alpha=157.14 beta=157.14 gamma=32.55
Sites, in units of the cell vectors:
P 0.096 0.096 0.000
P 0.750 0.250 0.500
P 0.500 0.000 0.500
P 0.250 0.750 0.500
P 0.904 0.904 0.000
P 0.000 0.500 0.500
Ni 0.324 0.324 0.000
Ni 0.676 0.676 0.000



The following is a PBE calculation of an optimized crystal structure of AcPrNdEr, from the Alexandria database.

V: 146 Å³/cell
energy of formation: 54 meV/atom
space group: P3m1
offset from the most stable computed form: 0 meV/atom

Unit cell a=3.753 b=3.753 c=12.005 alpha=90.00 beta=90.00 gamma=120.00
Sites, in units of the cell vectors:
Nd 0.667 0.333 0.181
Pr 0.000 0.000 0.430
Er 0.667 0.333 0.668
Ac 0.333 0.667 0.920



The following is a PBE calculation of an optimized crystal structure of TlIn4Se, from the Alexandria database.

V: 174 Å³/cell
space group: F-43m
energy relative to the elements, uncorrected: 0.06 eV/atom

Unit cell a=6.261 b=6.261 c=6.261 alpha=60.00 beta=60.00 gamma=60.00
Sites, in units of the cell vectors:
Se 0.750 0.750 0.750
In 0.375 0.375 0.375
In 0.875 0.375 0.375
In 0.375 0.375 0.875
In 0.375 0.875 0.375
Tl 0.000 0.000 0.000



The following is a PBE calculation of an optimized crystal structure of LiZrSc2, from the Alexandria database.

V: 88 Å³/cell
energy of formation: 269 meV/atom
space group: F-43m
offset from the most stable computed form: 218 meV/atom

Unit cell a=4.997 b=4.997 c=4.997 alpha=60.00 beta=60.00 gamma=60.00
Sites, in units of the cell vectors:
Zr 0.750 0.750 0.750
Li 0.500 0.500 0.500
Sc 0.250 0.250 0.250
Sc 0.000 0.000 0.000



The following is a PBE calculation of an optimized crystal structure of NaCdBiPd, from the Alexandria database.

V: 86 Å³/cell
energy of formation: -204 meV/atom
space group: F-43m
offset from the most stable computed form: 0 meV/atom

Unit cell a=4.956 b=4.956 c=4.956 alpha=60.00 beta=60.00 gamma=60.00
Sites, in units of the cell vectors:
Cd 0.750 0.750 0.750
Bi 0.250 0.250 0.250
Pd 0.500 0.500 0.500
Na 0.000 0.000 0.000



The following is a PBE calculation of an optimized crystal structure of Li2ScCuH, from the Alexandria database.

V: 67 Å³/cell
space group: P4/mmm
E_tot: -18.38 eV per cell

Unit cell a=3.861 b=3.861 c=4.521 alpha=90.00 beta=90.00 gamma=90.00
Sites, in units of the cell vectors:
Cu 0.500 0.500 0.500
H 0.000 0.000 0.000
Li 0.500 0.000 0.000
Li 0.000 0.500 0.000
Sc 0.000 0.000 0.500



The following is a PBE calculation of an optimized crystal structure of HgPb2Cl2, from the Alexandria database.

V: 318 Å³/cell
space group: P4/mbm
energy relative to the elements, uncorrected: -0.47 eV/atom

Unit cell a=7.992 b=7.992 c=4.975 alpha=90.00 beta=90.00 gamma=90.00
Sites, in units of the cell vectors:
Pb 0.656 0.156 0.000
Pb 0.844 0.656 0.000
Pb 0.344 0.844 0.000
Pb 0.156 0.344 0.000
Hg 0.500 0.500 0.000
Hg 0.000 0.000 0.000
Cl 0.221 0.721 0.500
Cl 0.279 0.221 0.500
Cl 0.721 0.779 0.500
Cl 0.779 0.279 0.500



The following is a PBE calculation of an optimized crystal structure of SbAs4, from the Alexandria database.

V: 142 Å³/cell
space group: Pm-3m
energy relative to the elements, uncorrected: 1.18 eV/atom
offset from the most stable computed form: 884 meV/atom

Unit cell a=5.218 b=5.218 c=5.218 alpha=90.00 beta=90.00 gamma=90.00
Sites, in units of the cell vectors:
As 0.500 0.000 0.500
As 0.000 0.000 0.000
As 0.500 0.500 0.000
As 0.000 0.500 0.500
Sb 0.500 0.500 0.500



> What is the formula in the fourth record?

Pr2PdCl